w:
# GGA-PBE YGaCo4, optimized geometry
data_YGaCo4
_chemical_formula_sum 'Y4 Ga4 Co16'
_cell_length_a 6.931
_cell_length_b 6.931
_cell_length_c 6.931
_cell_angle_alpha 90.00
_cell_angle_beta 90.00
_cell_angle_gamma 90.00
_space_group_name_H-M_alt 'F -4 3 m'
_space_group_IT_number 216
_space_group_name_Hall 'F -4 2 3'
loop_
_atom_site_label
_atom_site_fract_x
_atom_site_fract_y
_atom_site_fract_z
Y1 0.000 0.000 0.000
Ga1 0.250 0.250 0.750
Co1 0.124 0.124 0.376
# spin magnetization: 4.34 μB per formula unit
# crystal system: cubic

=====

x:
# GGA-PBE YGaCo4, optimized geometry
data_YGaCo4
_chemical_formula_sum 'Y4 Ga4 Co16'
_cell_length_a 4.092
_cell_length_b 14.807
_cell_length_c 5.691
_cell_angle_alpha 90.00
_cell_angle_beta 90.00
_cell_angle_gamma 90.00
_space_group_name_H-M_alt 'C m c m'
_space_group_IT_number 63
_space_group_name_Hall '-C 2c 2'
loop_
_atom_site_label
_atom_site_fract_x
_atom_site_fract_y
_atom_site_fract_z
Y1 0.000 0.124 0.250
Ga1 0.000 0.224 0.750
Co1 0.000 0.061 0.750
Co2 0.000 0.343 0.054
Co3 0.000 0.500 0.000
# spin magnetization: 4.69 μB per formula unit
# crystal system: orthorhombic

=====

The calculated energies rank the structures as follows, beginning with the most stable: w, x.

=====

w:
# GGA-PBE YGaCo3, optimized geometry
data_YGaCo3
_chemical_formula_sum 'Y1 Ga1 Co3'
_cell_length_a 4.368
_cell_length_b 4.368
_cell_length_c 4.368
_cell_angle_alpha 90.00
_cell_angle_beta 90.00
_cell_angle_gamma 90.00
_space_group_name_H-M_alt 'P m -3 m'
_space_group_IT_number 221
_space_group_name_Hall '-P 4 2 3'
loop_
_atom_site_label
_atom_site_fract_x
_atom_site_fract_y
_atom_site_fract_z
Y1 0.000 0.000 0.000
Ga1 0.500 0.500 0.500
Co1 0.000 0.500 0.500
# spin magnetization: 0.99 μB per formula unit
# crystal system: cubic

=====

x:
# GGA-PBE YGaCo3, optimized geometry
data_YGaCo3
_chemical_formula_sum 'Y1 Ga1 Co3'
_cell_length_a 4.668
_cell_length_b 4.668
_cell_length_c 4.668
_cell_angle_alpha 90.00
_cell_angle_beta 90.00
_cell_angle_gamma 90.00
_space_group_name_H-M_alt 'P m -3 m'
_space_group_IT_number 221
_space_group_name_Hall '-P 4 2 3'
loop_
_atom_site_label
_atom_site_fract_x
_atom_site_fract_y
_atom_site_fract_z
Y1 0.000 0.000 0.000
Ga1 0.500 0.500 0.500
Co1 0.000 0.000 0.500
# spin magnetization: 2.65 μB per formula unit
# crystal system: cubic

=====

The calculated energies rank the structures as follows, beginning with the most stable: w, x.

=====

w:
# GGA-PBE YGa3Co, optimized geometry
data_YGa3Co
_chemical_formula_sum 'Y4 Ga12 Co4'
_cell_length_a 8.191
_cell_length_b 4.085
_cell_length_c 10.453
_cell_angle_alpha 90.00
_cell_angle_beta 90.00
_cell_angle_gamma 90.00
_space_group_name_H-M_alt 'P n m a'
_space_group_IT_number 62
_space_group_name_Hall '-P 2ac 2n'
loop_
_atom_site_label
_atom_site_fract_x
_atom_site_fract_y
_atom_site_fract_z
Y1 0.198 0.250 0.016
Ga1 0.054 0.250 0.584
Ga2 0.115 0.750 0.793
Ga3 0.144 0.750 0.219
Co1 0.105 0.250 0.352
# spin magnetization: 0.00 μB per formula unit
# crystal system: orthorhombic

=====

x:
# GGA-PBE YGa3Co, optimized geometry
data_YGa3Co
_chemical_formula_sum 'Y1 Ga3 Co1'
_cell_length_a 4.535
_cell_length_b 4.535
_cell_length_c 4.535
_cell_angle_alpha 90.00
_cell_angle_beta 90.00
_cell_angle_gamma 90.00
_space_group_name_H-M_alt 'P m -3 m'
_space_group_IT_number 221
_space_group_name_Hall '-P 4 2 3'
loop_
_atom_site_label
_atom_site_fract_x
_atom_site_fract_y
_atom_site_fract_z
Y1 0.000 0.000 0.000
Ga1 0.000 0.500 0.500
Co1 0.500 0.500 0.500
# spin magnetization: 0.00 μB per formula unit
# crystal system: cubic

=====

The calculated energies rank the structures as follows, beginning with the most stable: w, x.